Record 1
{"formula": "Nd2ZnHg", "functional": "meta-GGA SCAN", "state": "PBEsol geometry", "n_ef_per_ev_cell": 3.88, "vol_a3_per_fu": 101, "total_energy_ry_per_atom": -3.14080, "formation_enthalpy_0k_kj_per_mol_atoms": -50.30, "lattice_angstrom": [[-1.5862, -3.1444, -3.8646], [3.4838, -2.8956, -2.6109], [0.0951, -5.1878, 0.6450]], "species": ["Zn", "Nd", "Nd", "Hg"], "frac_coords": [[0.0000, 0.0000, 0.0000], [0.2500, 0.2500, 0.2500], [0.7500, 0.7500, 0.7500], [0.5000, 0.5000, 0.5000]]}



Record 2
{"formula": "Zn2TeBr", "functional": "meta-GGA SCAN", "state": "PBEsol geometry", "n_ef_per_ev_cell": 0.98, "polymorph_energy_mev_per_atom": 35, "vol_a3_per_fu": 96, "total_energy_ry_per_atom": -1.54652, "formation_energy_uncorrected_ev_per_fu": -0.4, "lattice_angstrom": [[-2.4894, 2.1912, -1.7125], [-2.8627, -1.9555, 1.6594], [2.8103, 4.1049, 5.2346]], "species": ["Br", "Te", "Zn", "Zn"], "frac_coords": [[0.5279, 0.5279, 0.0559], [0.2837, 0.7837, 0.5675], [0.9445, 0.9445, 0.8890], [0.7438, 0.2438, 0.4877]]}



Record 3
{"formula": "Hg2IrPt", "functional": "meta-GGA SCAN", "state": "PBEsol geometry", "n_ef_per_ev_cell": 1.10, "polymorph_energy_mev_per_atom": 35, "vol_a3_per_fu": 68, "total_energy_ry_per_atom": -5.06667, "formation_enthalpy_0k_kj_per_mol_atoms": 45.39, "lattice_angstrom": [[3.2850, 0.0000, 0.0000], [0.0000, 4.5455, 0.0000], [0.0000, 0.0000, 4.5455]], "species": ["Hg", "Hg", "Ir", "Pt"], "frac_coords": [[0.0000, 0.0000, 0.5000], [0.0000, 0.5000, 0.0000], [0.5000, 0.5000, 0.5000], [0.5000, 0.0000, 0.0000]]}



Record 4
{"formula": "SrYTe2", "functional": "meta-GGA SCAN", "state": "PBEsol geometry", "n_ef_per_ev_cell": 3.12, "polymorph_energy_mev_per_atom": 1170, "vol_a3_per_fu": 115, "total_energy_ry_per_atom": -2.32716, "formation_energy_uncorrected_ev_per_fu": -2.0, "lattice_angstrom": [[5.4574, 0.0000, 0.0000], [2.7287, 4.7263, 0.0000], [2.7287, 1.5754, 4.4560]], "species": ["Sr", "Te", "Te", "Y"], "frac_coords": [[0.5000, 0.5000, 0.5000], [0.0000, 0.0000, 0.0000], [0.7500, 0.7500, 0.7500], [0.2500, 0.2500, 0.2500]]}